No. 1
A relaxed structure of Tb2Al4AgAu3, computed with GGA-PBE.

Cell lengths 4.3272, 4.3272, 10.6340 Å; angles 90.00, 90.00, 90.00 degrees
Sites, in units of the cell vectors:
Tb 0.5000 0.0000 0.2501
Tb 0.0000 0.5000 0.7499
Al 0.5000 0.5000 0.0000
Al 0.0000 0.0000 0.0000
Al 0.5000 0.0000 0.6345
Al 0.0000 0.5000 0.3655
Ag 0.5000 0.5000 0.5000
Au 0.0000 0.0000 0.5000
Au 0.5000 0.0000 0.8669
Au 0.0000 0.5000 0.1331

## Properties
DOS at the Fermi energy in states/eV per atom: 0.38
Space group: P-4m2, No. 115


No. 2
A relaxed structure of AlAgTe4Au2, computed with GGA-PBE.

Cell lengths 6.2694, 6.2694, 7.7308 Å; angles 113.92, 113.92, 90.01 degrees
Sites, in units of the cell vectors:
Al 0.5000 0.5000 0.0000
Ag 0.0001 0.0001 0.0001
Te 0.6192 0.6192 0.7529
Te 0.3809 0.8663 0.2472
Te 0.8663 0.3809 0.2472
Te 0.1337 0.1337 0.7529
Au 0.7500 0.2500 0.5001
Au 0.2500 0.7500 0.5001

## Properties
Formation energy from raw total energies in eV per atom: -0.154
DOS at the Fermi energy in states/eV per atom: 0.62
Space group: I-42m, No. 121


No. 3
A relaxed structure of AlAgTe2Au, computed with GGA-PBE.

Cell lengths 5.4937, 4.8012, 5.4937 Å; angles 90.00, 90.00, 90.00 degrees
Sites, in units of the cell vectors:
Te 0.0000 0.0000 0.5000
Te 0.5000 0.0000 0.0000
Au 0.5000 0.5000 0.5000
Al 0.0000 0.5000 0.0000
Ag 0.0000 0.0000 0.0000

## Properties
Formation energy from raw total energies in eV per atom: 0.614
DOS at the Fermi energy in states/eV per atom: 0.73
Space group: P4/mmm, No. 123


No. 4
A relaxed structure of Al2AgTe4Au, computed with GGA-PBE.

Cell lengths 6.1942, 6.1942, 7.8371 Å; angles 113.28, 113.28, 90.01 degrees
Sites, in units of the cell vectors:
Al 0.7500 0.2500 0.5001
Al 0.2500 0.7500 0.5001
Ag 0.9998 0.9998 0.9996
Te 0.6174 0.6174 0.7389
Te 0.3823 0.8789 0.2612
Te 0.8789 0.3823 0.2612
Te 0.1214 0.1214 0.7389
Au 0.5003 0.5003 0.0007

## Properties
Formation energy from raw total energies in eV per atom: -0.298
DOS at the Fermi energy in states/eV per atom: 0.01
Space group: Fmm2, No. 42


No. 5
A relaxed structure of Th2Al3AgAu4, computed with GGA-PBE.

Cell lengths 4.4313, 4.4313, 10.6632 Å; angles 90.00, 90.00, 90.00 degrees
Sites, in units of the cell vectors:
Th 0.5000 0.0000 0.2473
Th 0.0000 0.5000 0.7527
Al 0.0000 0.0000 0.5000
Al 0.5000 0.0000 0.8741
Al 0.0000 0.5000 0.1259
Ag 0.5000 0.5000 0.5000
Au 0.5000 0.5000 0.0000
Au 0.0000 0.0000 0.0000
Au 0.5000 0.0000 0.6442
Au 0.0000 0.5000 0.3558

## Properties
DOS at the Fermi energy in states/eV per atom: 0.76
Space group: P-4m2, No. 115


No. 6
A relaxed structure of ThAl2AgAu2, computed with GGA-PBE.

Cell lengths 4.4625, 4.4625, 7.0284 Å; angles 90.00, 90.00, 120.00 degrees
Sites, in units of the cell vectors:
Th 0.0000 0.0000 0.0000
Al 0.6667 0.3333 0.6743
Al 0.3333 0.6667 0.3257
Ag 0.0000 0.0000 0.5000
Au 0.6667 0.3333 0.2660
Au 0.3333 0.6667 0.7340

## Properties
DOS at the Fermi energy in states/eV per atom: 0.63
Space group: P-3m1, No. 164


No. 7
A relaxed structure of ThAlAgAu, computed with GGA-PBE.

Cell lengths 4.9869, 4.9869, 4.9869 Å; angles 60.00, 60.00, 60.00 degrees
Sites, in units of the cell vectors:
Au 0.7500 0.7500 0.7500
Ag 0.2500 0.2500 0.2500
Th 0.0000 0.0000 0.0000
Al 0.5000 0.5000 0.5000

## Properties
DOS at the Fermi energy in states/eV per atom: 0.47
Space group: F-43m, No. 216


No. 8
A relaxed structure of ThAl3AgAu, computed with GGA-PBE.

Cell lengths 5.5704, 5.7320, 8.4547 Å; angles 109.82, 90.00, 90.00 degrees
Sites, in units of the cell vectors:
Th 0.7500 0.3312 0.6624
Th 0.2500 0.6688 0.3376
Al 0.2500 0.1057 0.2113
Al 0.0000 0.2739 0.0000
Al 0.5000 0.7261 0.0000
Al 0.5000 0.2739 0.0000
Al 0.0000 0.7261 0.0000
Al 0.7500 0.8943 0.7887
Ag 0.2500 0.8803 0.7605
Ag 0.7500 0.1197 0.2395
Au 0.2500 0.2660 0.5319
Au 0.7500 0.7340 0.4681

## Properties
DOS at the Fermi energy in states/eV per atom: 0.55
Space group: Cmcm, No. 63


No. 9
A relaxed structure of AlTl2AgAu2, computed with GGA-PBE.

Cell lengths 6.0405, 6.0633, 8.4455 Å; angles 111.04, 110.95, 90.00 degrees
Sites, in units of the cell vectors:
Al 0.5000 0.7500 0.0000
Al 0.5000 0.2500 0.0000
Tl 0.3808 0.1789 0.3579
Tl 0.6192 0.8211 0.6421
Tl 0.0230 0.3211 0.6421
Tl 0.9770 0.6789 0.3579
Ag 0.0000 0.7500 0.0000
Ag 0.0000 0.2500 0.0000
Au 0.8143 0.1150 0.2300
Au 0.4157 0.6150 0.2300
Au 0.5843 0.3850 0.7700
Au 0.1857 0.8850 0.7700

## Properties
DOS at the Fermi energy in states/eV per atom: 0.39
Space group: Ibam, No. 72


No. 10
A relaxed structure of TmAl2AgAu4, computed with GGA-PBE.

Cell lengths 4.5110, 4.5110, 8.9319 Å; angles 75.37, 75.37, 60.00 degrees
Sites, in units of the cell vectors:
Tm 0.0000 0.0000 0.0000
Al 0.7574 0.7574 0.7278
Al 0.2426 0.2426 0.2722
Ag 0.5000 0.5000 0.5000
Au 0.3890 0.3890 0.8329
Au 0.8789 0.8789 0.3634
Au 0.1211 0.1211 0.6366
Au 0.6110 0.6110 0.1671

## Properties
DOS at the Fermi energy in states/eV per atom: 0.29
Space group: R-3m, No. 166


No. 11
A relaxed structure of YAlAg2Au4, computed with GGA-PBE.

Cell lengths 4.7874, 4.7874, 8.1116 Å; angles 72.84, 72.84, 60.00 degrees
Sites, in units of the cell vectors:
Y 0.0000 0.0000 0.0000
Al 0.5000 0.5000 0.5000
Ag 0.7431 0.7431 0.7706
Ag 0.2569 0.2569 0.2294
Au 0.3867 0.3867 0.8399
Au 0.8670 0.8670 0.3989
Au 0.1330 0.1330 0.6011
Au 0.6133 0.6133 0.1601

## Properties
DOS at the Fermi energy in states/eV per atom: 0.18
Space group: R-3m, No. 166


No. 12
A relaxed structure of YAl2AgAu4, computed with GGA-PBE.

Cell lengths 4.4894, 4.4894, 9.1668 Å; angles 75.83, 75.83, 60.00 degrees
Sites, in units of the cell vectors:
Y 0.0000 0.0000 0.0000
Al 0.7583 0.7583 0.7250
Al 0.2417 0.2417 0.2750
Ag 0.5000 0.5000 0.5000
Au 0.3922 0.3922 0.8234
Au 0.8780 0.8780 0.3659
Au 0.1220 0.1220 0.6341
Au 0.6078 0.6078 0.1766

## Properties
DOS at the Fermi energy in states/eV per atom: 0.39
Space group: R-3m, No. 166


No. 13
A relaxed structure of YAl3AgAu, computed with GGA-PBE.

Cell lengths 5.9125, 6.1024, 7.2406 Å; angles 114.92, 90.00, 90.00 degrees
Sites, in units of the cell vectors:
Y 0.7500 0.3058 0.6116
Y 0.2500 0.6942 0.3884
Al 0.2500 0.1370 0.2739
Al 0.0000 0.2906 0.0000
Al 0.5000 0.7094 0.0000
Al 0.5000 0.2906 0.0000
Al 0.0000 0.7094 0.0000
Al 0.7500 0.8630 0.7261
Ag 0.2500 0.9078 0.8156
Ag 0.7500 0.0922 0.1844
Au 0.2500 0.3406 0.6813
Au 0.7500 0.6594 0.3187

## Properties
DOS at the Fermi energy in states/eV per atom: 0.48
Space group: Cmcm, No. 63


No. 14
A relaxed structure of Y4AlAg2Au, computed with GGA-PBE.

Cell lengths 5.1311, 5.1311, 8.9170 Å; angles 73.28, 73.28, 60.00 degrees
Sites, in units of the cell vectors:
Y 0.3775 0.3775 0.8675
Y 0.8731 0.8731 0.3806
Y 0.1269 0.1269 0.6194
Y 0.6225 0.6225 0.1325
Al 0.0000 0.0000 0.0000
Ag 0.7439 0.7439 0.7684
Ag 0.2561 0.2561 0.2316
Au 0.5000 0.5000 0.5000

## Properties
DOS at the Fermi energy in states/eV per atom: 0.85
Space group: R-3m, No. 166


No. 15
A relaxed structure of YAl2AgAu5, computed with GGA-PBE.

Cell lengths 4.6654, 4.6654, 8.3112 Å; angles 90.00, 90.00, 90.00 degrees
Sites, in units of the cell vectors:
Y 0.0000 0.0000 0.5000
Al 0.5000 0.5000 0.1509
Al 0.5000 0.5000 0.8491
Ag 0.0000 0.0000 0.0000
Au 0.0000 0.5000 0.2694
Au 0.5000 0.0000 0.2694
Au 0.0000 0.5000 0.7306
Au 0.5000 0.0000 0.7306
Au 0.5000 0.5000 0.5000

## Properties
DOS at the Fermi energy in states/eV per atom: 0.24
Space group: P4/mmm, No. 123


No. 16
A relaxed structure of Y2Al4AgAu3, computed with GGA-PBE.

Cell lengths 4.3200, 4.3200, 10.6470 Å; angles 90.00, 90.00, 90.00 degrees
Sites, in units of the cell vectors:
Y 0.5000 0.0000 0.2501
Y 0.0000 0.5000 0.7499
Al 0.5000 0.5000 0.0000
Al 0.0000 0.0000 0.0000
Al 0.5000 0.0000 0.6346
Al 0.0000 0.5000 0.3654
Ag 0.5000 0.5000 0.5000
Au 0.0000 0.0000 0.5000
Au 0.5000 0.0000 0.8667
Au 0.0000 0.5000 0.1333

## Properties
DOS at the Fermi energy in states/eV per atom: 0.39
Space group: P-4m2, No. 115


No. 17
A relaxed structure of AlZnAg2Au, computed with GGA-PBE.

Cell lengths 4.5352, 6.6645, 6.3760 Å; angles 103.66, 90.00, 90.00 degrees
Sites, in units of the cell vectors:
Al 0.2500 0.8216 0.9699
Al 0.7500 0.1784 0.0301
Zn 0.2500 0.8371 0.4420
Zn 0.7500 0.1629 0.5580
Ag 0.7500 0.5175 0.3865
Ag 0.2500 0.4825 0.6135
Ag 0.7500 0.5242 0.8670
Ag 0.2500 0.4758 0.1330
Au 0.2500 0.1226 0.7950
Au 0.7500 0.8774 0.2050

## Properties
DOS at the Fermi energy in states/eV per atom: 0.29
Space group: P2_1/m, No. 11


No. 18
A relaxed structure of AlZnAgAu2, computed with GGA-PBE.

Cell lengths 2.9138, 7.2456, 9.0841 Å; angles 90.00, 90.00, 101.60 degrees
Sites, in units of the cell vectors:
Al 0.2079 0.4159 0.7500
Al 0.7921 0.5841 0.2500
Zn 0.0000 0.0000 0.5000
Zn 0.0000 0.0000 0.0000
Ag 0.8788 0.7576 0.7500
Ag 0.1212 0.2424 0.2500
Au 0.6549 0.3099 0.5261
Au 0.3451 0.6901 0.4739
Au 0.3451 0.6901 0.0261
Au 0.6549 0.3099 0.9739

## Properties
DOS at the Fermi energy in states/eV per atom: 0.26
Space group: Cmcm, No. 63


No. 19
A relaxed structure of Al2ZnAg2Au5, computed with GGA-PBE.

Cell lengths 3.5296, 10.0715, 10.0715 Å; angles 90.00, 90.00, 90.00 degrees
Sites, in units of the cell vectors:
Al 0.0000 0.1390 0.6390
Al 0.0000 0.8610 0.3610
Al 0.0000 0.6390 0.8610
Al 0.0000 0.3610 0.1390
Zn 0.0000 0.0000 0.0000
Zn 0.0000 0.5000 0.5000
Ag 0.0000 0.6739 0.1739
Ag 0.0000 0.3261 0.8261
Ag 0.0000 0.1739 0.3261
Ag 0.0000 0.8261 0.6739
Au 0.5000 0.2032 0.0301
Au 0.5000 0.7968 0.9699
Au 0.5000 0.0301 0.7968
Au 0.5000 0.7032 0.4699
Au 0.5000 0.9699 0.2032
Au 0.5000 0.2968 0.5301
Au 0.5000 0.5301 0.7032
Au 0.5000 0.4699 0.2968
Au 0.5000 0.5000 0.0000
Au 0.5000 0.0000 0.5000

## Properties
DOS at the Fermi energy in states/eV per atom: 0.35
Space group: P4/mbm, No. 127


No. 20
A relaxed structure of Al2ZnAgAu5, computed with GGA-PBE.

Cell lengths 6.7183, 6.7183, 8.7972 Å; angles 112.45, 112.45, 90.00 degrees
Sites, in units of the cell vectors:
Al 0.1303 0.3697 0.0000
Al 0.6303 0.1303 0.0000
Al 0.3697 0.8697 0.0000
Al 0.8697 0.6303 0.0000
Zn 0.2500 0.2500 0.5000
Zn 0.7500 0.7500 0.5000
Ag 0.2500 0.7500 0.5000
Ag 0.7500 0.2500 0.5000
Au 0.9037 0.4037 0.2972
Au 0.6065 0.1065 0.7028
Au 0.0963 0.5963 0.7028
Au 0.1065 0.0963 0.7028
Au 0.5963 0.6065 0.7028
Au 0.8935 0.9037 0.2972
Au 0.4037 0.3935 0.2972
Au 0.3935 0.8935 0.2972
Au 0.5000 0.5000 0.0000
Au 0.0000 0.0000 0.0000

## Properties
DOS at the Fermi energy in states/eV per atom: 0.29
Space group: I4/mcm, No. 140


no.,final energy (Ha/atom)
1,-0.15923
2,-0.12379
3,-0.09618
4,-0.13122
5,-0.17492
6,-0.16783
7,-0.17312
8,-0.15819
9,-0.11372
10,-0.14461
11,-0.14776
12,-0.15398
13,-0.15447
14,-0.19519
15,-0.14771
16,-0.17286
17,-0.10554
18,-0.11125
19,-0.11908
20,-0.11624